# NaTlAgRh (PBE, relaxed)
# M_tot	0.0	μB/f.u.
# crystal system	cubic
# total DFT energy (no corrections)	-3.380	eV per atom
# energy relative to the elements	0.092	eV per atom
# SG	F-43m, No. 216
# D(E_F)	2.24	states/eV/cell
data_NaTlAgRh
_chemical_formula_sum 'Na1 Tl1 Ag1 Rh1'
_symmetry_space_group_name_H-M 'P 1'
_symmetry_Int_Tables_number 1
_symmetry_space_group_name_Hall 'P 1'
_cell_length_a 4.750
_cell_length_b 4.750
_cell_length_c 4.750
_cell_angle_alpha 60.00
_cell_angle_beta 60.00
_cell_angle_gamma 60.00
loop_
_atom_site_label
_atom_site_fract_x
_atom_site_fract_y
_atom_site_fract_z
Rh1 0.000 0.000 0.000
Ag1 0.250 0.250 0.250
Na1 0.500 0.500 0.500
Tl1 0.750 0.750 0.750

=====

# NaAg2RhW (PBE, relaxed)
# M_tot	4.9	μB/f.u.
# crystal system	tetragonal
# total DFT energy (no corrections)	-3.638	eV per atom
# energy relative to the elements	1.827	eV per atom
# SG	P4/mmm, No. 123
# D(E_F)	4.11	states/eV/cell
data_NaAg2RhW
_chemical_formula_sum 'Na1 Ag2 Rh1 W1'
_symmetry_space_group_name_H-M 'P 1'
_symmetry_Int_Tables_number 1
_symmetry_space_group_name_Hall 'P 1'
_cell_length_a 5.021
_cell_length_b 4.811
_cell_length_c 5.021
_cell_angle_alpha 90.00
_cell_angle_beta 90.00
_cell_angle_gamma 90.00
loop_
_atom_site_label
_atom_site_fract_x
_atom_site_fract_y
_atom_site_fract_z
Ag1 0.500 0.000 0.000
Na1 0.000 0.500 0.000
Ag2 0.000 0.000 0.500
Rh1 0.000 0.000 0.000
W1 0.500 0.500 0.500

=====

# NaZrAg2Rh (PBE, relaxed)
# M_tot	0.0	μB/f.u.
# crystal system	tetragonal
# total DFT energy (no corrections)	-3.674	eV per atom
# energy relative to the elements	0.910	eV per atom
# SG	P4/mmm, No. 123
# D(E_F)	5.06	states/eV/cell
data_NaZrAg2Rh
_chemical_formula_sum 'Na1 Zr1 Ag2 Rh1'
_symmetry_space_group_name_H-M 'P 1'
_symmetry_Int_Tables_number 1
_symmetry_space_group_name_Hall 'P 1'
_cell_length_a 4.581
_cell_length_b 4.856
_cell_length_c 4.581
_cell_angle_alpha 90.00
_cell_angle_beta 90.00
_cell_angle_gamma 90.00
loop_
_atom_site_label
_atom_site_fract_x
_atom_site_fract_y
_atom_site_fract_z
Na1 0.000 0.000 0.000
Ag1 0.000 0.000 0.500
Rh1 0.000 0.500 0.000
Zr1 0.500 0.500 0.500
Ag2 0.500 0.000 0.000

=====

# NaAgRu (PBE, relaxed)
# E above lowest polymorph	55	meV per atom
# M_tot	0.0	μB/f.u.
# crystal system	triclinic
# total DFT energy (no corrections)	-4.016	eV per atom
# energy relative to the elements	0.466	eV per atom
# SG	P-1, No. 2
# D(E_F)	5.54	states/eV/cell
data_NaAgRu
_chemical_formula_sum 'Na2 Ag2 Ru2'
_symmetry_space_group_name_H-M 'P 1'
_symmetry_Int_Tables_number 1
_symmetry_space_group_name_Hall 'P 1'
_cell_length_a 2.800
_cell_length_b 6.091
_cell_length_c 6.768
_cell_angle_alpha 79.05
_cell_angle_beta 89.75
_cell_angle_gamma 76.71
loop_
_atom_site_label
_atom_site_fract_x
_atom_site_fract_y
_atom_site_fract_z
Na1 0.989 0.038 0.694
Na2 0.011 0.962 0.306
Ag1 0.350 0.296 0.979
Ag2 0.650 0.704 0.021
Ru1 0.274 0.455 0.363
Ru2 0.726 0.545 0.637

=====

# NaAg3Ru (PBE, relaxed)
# E above lowest polymorph	0	meV per atom
# M_tot	2.0	μB/f.u.
# crystal system	cubic
# total DFT energy (no corrections)	-2.936	eV per atom
# energy relative to the elements	0.893	eV per atom
# SG	Pm-3m, No. 221
# D(E_F)	3.07	states/eV/cell
data_NaAg3Ru
_chemical_formula_sum 'Na1 Ag3 Ru1'
_symmetry_space_group_name_H-M 'P 1'
_symmetry_Int_Tables_number 1
_symmetry_space_group_name_Hall 'P 1'
_cell_length_a 5.140
_cell_length_b 5.140
_cell_length_c 5.140
_cell_angle_alpha 90.00
_cell_angle_beta 90.00
_cell_angle_gamma 90.00
loop_
_atom_site_label
_atom_site_fract_x
_atom_site_fract_y
_atom_site_fract_z
Ag1 0.000 0.000 0.500
Ag2 0.500 0.000 0.000
Ag3 0.000 0.500 0.000
Na1 0.500 0.500 0.500
Ru1 0.000 0.000 0.000

=====

# Na2Ag2Ru (PBE, relaxed)
# E above lowest polymorph	156	meV per atom
# M_tot	2.0	μB/f.u.
# crystal system	tetragonal
# total DFT energy (no corrections)	-2.726	eV per atom
# energy relative to the elements	0.797	eV per atom
# SG	I4/mmm, No. 139
# D(E_F)	4.86	states/eV/cell
data_Na2Ag2Ru
_chemical_formula_sum 'Na2 Ag2 Ru1'
_symmetry_space_group_name_H-M 'P 1'
_symmetry_Int_Tables_number 1
_symmetry_space_group_name_Hall 'P 1'
_cell_length_a 3.722
_cell_length_b 3.722
_cell_length_c 8.972
_cell_angle_alpha 78.03
_cell_angle_beta 78.03
_cell_angle_gamma 90.00
loop_
_atom_site_label
_atom_site_fract_x
_atom_site_fract_y
_atom_site_fract_z
Ru1 0.000 0.000 0.000
Na1 0.400 0.400 0.200
Ag1 0.250 0.750 0.500
Na2 0.600 0.600 0.800
Ag2 0.750 0.250 0.500

=====

# NaAgRu (PBE, relaxed)
# E above lowest polymorph	51	meV per atom
# M_tot	0.0	μB/f.u.
# crystal system	monoclinic
# total DFT energy (no corrections)	-4.020	eV per atom
# energy relative to the elements	0.462	eV per atom
# SG	C2/m, No. 12
# D(E_F)	10.89	states/eV/cell
data_NaAgRu
_chemical_formula_sum 'Na4 Ag4 Ru4'
_symmetry_space_group_name_H-M 'P 1'
_symmetry_Int_Tables_number 1
_symmetry_space_group_name_Hall 'P 1'
_cell_length_a 6.186
_cell_length_b 2.838
_cell_length_c 12.602
_cell_angle_alpha 90.00
_cell_angle_beta 107.72
_cell_angle_gamma 90.00
loop_
_atom_site_label
_atom_site_fract_x
_atom_site_fract_y
_atom_site_fract_z
Ag1 0.500 0.500 0.000
Na1 0.658 0.000 0.836
Ru1 0.120 0.000 0.827
Na2 0.658 0.500 0.336
Na3 0.342 0.000 0.164
Ag2 0.000 0.000 0.500
Ru2 0.880 0.000 0.173
Na4 0.342 0.500 0.664
Ag3 0.500 0.000 0.500
Ag4 0.000 0.500 0.000
Ru3 0.880 0.500 0.673
Ru4 0.120 0.500 0.327

=====

# Na2Ag2Ru (PBE, relaxed)
# E above lowest polymorph	0	meV per atom
# M_tot	0.4	μB/f.u.
# crystal system	tetragonal
# total DFT energy (no corrections)	-2.882	eV per atom
# energy relative to the elements	0.642	eV per atom
# SG	P4/mbm, No. 127
# D(E_F)	7.43	states/eV/cell
data_Na2Ag2Ru
_chemical_formula_sum 'Na4 Ag4 Ru2'
_symmetry_space_group_name_H-M 'P 1'
_symmetry_Int_Tables_number 1
_symmetry_space_group_name_Hall 'P 1'
_cell_length_a 8.255
_cell_length_b 8.255
_cell_length_c 2.751
_cell_angle_alpha 90.00
_cell_angle_beta 90.00
_cell_angle_gamma 90.00
loop_
_atom_site_label
_atom_site_fract_x
_atom_site_fract_y
_atom_site_fract_z
Ru1 0.500 0.500 0.000
Ag1 0.823 0.323 0.500
Ru2 0.000 0.000 0.000
Na1 0.126 0.374 0.000
Ag2 0.323 0.177 0.500
Na2 0.374 0.874 0.000
Na3 0.874 0.626 0.000
Na4 0.626 0.126 0.000
Ag3 0.677 0.823 0.500
Ag4 0.177 0.677 0.500

=====

# NaAg2Ru (PBE, relaxed)
# E above lowest polymorph	316	meV per atom
# M_tot	1.7	μB/f.u.
# crystal system	tetragonal
# total DFT energy (no corrections)	-3.170	eV per atom
# energy relative to the elements	0.905	eV per atom
# SG	I-42d, No. 122
# D(E_F)	7.42	states/eV/cell
data_NaAg2Ru
_chemical_formula_sum 'Na2 Ag4 Ru2'
_symmetry_space_group_name_H-M 'P 1'
_symmetry_Int_Tables_number 1
_symmetry_space_group_name_Hall 'P 1'
_cell_length_a 4.037
_cell_length_b 4.037
_cell_length_c 10.061
_cell_angle_alpha 78.43
_cell_angle_beta 78.43
_cell_angle_gamma 90.00
loop_
_atom_site_label
_atom_site_fract_x
_atom_site_fract_y
_atom_site_fract_z
Ag1 0.633 0.125 0.250
Ru1 0.000 0.000 0.000
Ag2 0.117 0.625 0.250
Ag3 0.875 0.883 0.750
Na1 0.500 0.500 0.000
Ru2 0.750 0.250 0.500
Na2 0.250 0.750 0.500
Ag4 0.375 0.367 0.750

=====

# NaAgRu (PBE, relaxed)
# E above lowest polymorph	69	meV per atom
# M_tot	0.0	μB/f.u.
# crystal system	triclinic
# total DFT energy (no corrections)	-4.002	eV per atom
# energy relative to the elements	0.480	eV per atom
# SG	P1, No. 1
# D(E_F)	5.18	states/eV/cell
data_NaAgRu
_chemical_formula_sum 'Na2 Ag2 Ru2'
_symmetry_space_group_name_H-M 'P 1'
_symmetry_Int_Tables_number 1
_symmetry_space_group_name_Hall 'P 1'
_cell_length_a 2.827
_cell_length_b 5.280
_cell_length_c 7.215
_cell_angle_alpha 82.14
_cell_angle_beta 89.89
_cell_angle_gamma 89.95
loop_
_atom_site_label
_atom_site_fract_x
_atom_site_fract_y
_atom_site_fract_z
Na1 0.051 0.086 0.034
Ag1 0.548 0.113 0.372
Ag2 0.547 0.405 0.690
Na2 0.047 0.876 0.702
Ru1 0.550 0.575 0.063
Ru2 0.049 0.610 0.339

=====

# Na3AgRu (PBE, relaxed)
# E above lowest polymorph	0	meV per atom
# M_tot	2.1	μB/f.u.
# crystal system	cubic
# total DFT energy (no corrections)	-2.137	eV per atom
# energy relative to the elements	1.080	eV per atom
# SG	Pm-3m, No. 221
# D(E_F)	8.25	states/eV/cell
data_Na3AgRu
_chemical_formula_sum 'Na3 Ag1 Ru1'
_symmetry_space_group_name_H-M 'P 1'
_symmetry_Int_Tables_number 1
_symmetry_space_group_name_Hall 'P 1'
_cell_length_a 5.394
_cell_length_b 5.394
_cell_length_c 5.394
_cell_angle_alpha 90.00
_cell_angle_beta 90.00
_cell_angle_gamma 90.00
loop_
_atom_site_label
_atom_site_fract_x
_atom_site_fract_y
_atom_site_fract_z
Na1 0.000 0.000 0.500
Ru1 0.500 0.500 0.500
Ag1 0.000 0.000 0.000
Na2 0.500 0.000 0.000
Na3 0.000 0.500 0.000

=====

# NaAg3Ru (PBE, relaxed)
# E above lowest polymorph	482	meV per atom
# M_tot	1.7	μB/f.u.
# crystal system	cubic
# total DFT energy (no corrections)	-2.454	eV per atom
# energy relative to the elements	1.375	eV per atom
# SG	Pm-3m, No. 221
# D(E_F)	6.71	states/eV/cell
data_NaAg3Ru
_chemical_formula_sum 'Na1 Ag3 Ru1'
_symmetry_space_group_name_H-M 'P 1'
_symmetry_Int_Tables_number 1
_symmetry_space_group_name_Hall 'P 1'
_cell_length_a 4.720
_cell_length_b 4.720
_cell_length_c 4.720
_cell_angle_alpha 90.00
_cell_angle_beta 90.00
_cell_angle_gamma 90.00
loop_
_atom_site_label
_atom_site_fract_x
_atom_site_fract_y
_atom_site_fract_z
Ag1 0.000 0.500 0.000
Ag2 0.000 0.000 0.500
Ru1 0.500 0.500 0.500
Na1 0.000 0.000 0.000
Ag3 0.500 0.000 0.000